{"formula": "SrOs3Se", "functional": "PBE", "state": "relaxed", "cell": [[-4.021, 1.571, -2.516], [-1.075, -4.723, -1.231], [-2.765, -0.449, 4.138]], "species": ["Sr", "Os", "Os", "Se", "Os"], "fractional_positions": [[0.000, 0.000, 0.000], [0.000, 0.500, 0.000], [0.000, 0.000, 0.500], [0.500, 0.500, 0.500], [0.500, 0.000, 0.000]], "e_form_raw_ev_per_atom": 3.717, "spacegroup": "Pm-3m, No. 221", "mass_density_g_cm3": 9.8, "magnetic_moment_mub_per_atom": 1.24}